1.
Nd9SmTl2 after structural relaxation, computed with PBE.

Lattice parameters (Å, degrees): 5.017 5.017 15.473 90.00 90.00 90.00
Element x y z (fractional)
Nd 0.000 0.000 0.000
Nd 0.000 0.000 0.338
Nd 0.000 0.000 0.662
Nd 0.000 0.500 0.174
Nd 0.000 0.500 0.500
Nd 0.000 0.500 0.826
Nd 0.500 0.000 0.174
Nd 0.500 0.000 0.500
Nd 0.500 0.000 0.826
Sm 0.500 0.500 0.000
Tl 0.500 0.500 0.339
Tl 0.500 0.500 0.661

## Properties
Energy of formation from the pure elements in meV per atom: -125
Total DFT energy (no corrections) in eV/f.u.: -53.86



2.
Nd6Sm5Tl after structural relaxation, computed with PBE.

Lattice parameters (Å, degrees): 9.609 9.609 9.609 149.37 115.80 72.80
Element x y z (fractional)
Nd 0.080 0.336 0.745
Nd 0.244 0.000 0.244
Nd 0.409 0.664 0.745
Nd 0.591 0.336 0.255
Nd 0.756 0.000 0.756
Nd 0.920 0.664 0.255
Sm 0.169 0.169 0.000
Sm 0.337 0.837 0.500
Sm 0.500 0.500 0.000
Sm 0.663 0.163 0.500
Sm 0.831 0.831 0.000
Tl 0.000 0.500 0.500

## Properties
Energy of formation from the pure elements in meV per atom: -37
Total DFT energy (no corrections) in eV/f.u.: -55.02



3.
Nd5Sm3Tl2 after structural relaxation, computed with PBE.

Lattice parameters (Å, degrees): 10.143 10.143 6.667 93.80 93.80 104.38
Element x y z (fractional)
Nd 0.029 0.710 0.397
Nd 0.032 0.968 0.750
Nd 0.185 0.287 0.043
Nd 0.287 0.185 0.543
Nd 0.290 0.971 0.103
Nd 0.710 0.029 0.897
Nd 0.713 0.815 0.457
Nd 0.815 0.713 0.957
Nd 0.968 0.032 0.250
Nd 0.971 0.290 0.603
Sm 0.158 0.614 0.928
Sm 0.386 0.842 0.572
Sm 0.475 0.525 0.750
Sm 0.525 0.475 0.250
Sm 0.614 0.158 0.428
Sm 0.842 0.386 0.072
Tl 0.227 0.511 0.424
Tl 0.489 0.773 0.076
Tl 0.511 0.227 0.924
Tl 0.773 0.489 0.576

## Properties
Energy of formation from the pure elements in meV per atom: -104
Total DFT energy (no corrections) in eV/f.u.: -43.76



4.
Nd4Sm3Tl after structural relaxation, computed with PBE.

Lattice parameters (Å, degrees): 4.254 4.254 14.591 90.00 90.00 90.00
Element x y z (fractional)
Nd 0.000 0.000 0.113
Nd 0.000 0.000 0.372
Nd 0.000 0.000 0.628
Nd 0.000 0.000 0.887
Sm 0.500 0.500 0.246
Sm 0.500 0.500 0.500
Sm 0.500 0.500 0.754
Tl 0.500 0.500 0.000

## Properties
Energy of formation from the pure elements in meV per atom: -5
Total DFT energy (no corrections) in eV/f.u.: -35.64



5.
Nd3Sm4Tl4 after structural relaxation, computed with PBE.

Lattice parameters (Å, degrees): 10.914 10.914 10.914 159.98 127.49 56.75
Element x y z (fractional)
Nd 0.000 0.000 0.000
Nd 0.403 0.903 0.500
Nd 0.597 0.097 0.500
Sm 0.021 0.336 0.685
Sm 0.349 0.664 0.685
Sm 0.651 0.336 0.315
Sm 0.979 0.664 0.315
Tl 0.268 0.268 0.000
Tl 0.279 0.500 0.779
Tl 0.721 0.500 0.221
Tl 0.732 0.732 0.000

## Properties
Energy of formation from the pure elements in meV per atom: -244
Total DFT energy (no corrections) in eV/f.u.: -45.33



6.
Nd2Sm4Tl after structural relaxation, computed with PBE.

Lattice parameters (Å, degrees): 8.645 8.645 8.737 116.41 116.41 23.77
Element x y z (fractional)
Nd 0.219 0.219 0.143
Nd 0.781 0.781 0.857
Sm 0.077 0.077 0.705
Sm 0.366 0.366 0.598
Sm 0.634 0.634 0.402
Sm 0.923 0.923 0.295
Tl 0.000 0.000 0.000

## Properties
Energy of formation from the pure elements in meV per atom: -2
Total DFT energy (no corrections) in eV/f.u.: -30.79